# 1
Compound: NaTaBIr
Source: the Open Quantum Materials Database
Functional: PBE
Structure: relaxed

Properties
Total magnetization = 0.000 μB/atom
Uncorrected energy = -26.9 eV/cell
Space-group type = No. 216

Unit cell a=4.2768 b=4.2768 c=4.2768 alpha=60.00 beta=60.00 gamma=60.00
Fractional coordinates of all 4 atoms:
B 0.0000 0.0000 0.0000
Ir 0.2500 0.2500 0.2500
Na 0.7500 0.7500 0.7500
Ta 0.5000 0.5000 0.5000

***

# 2
Compound: NaTmCdTe3
Source: the Open Quantum Materials Database
Functional: PBE
Structure: relaxed

Properties
Total magnetization = 0.001 μB/atom
Uncorrected energy = -86.9 eV/cell
Space-group type = No. 62

Unit cell a=4.3830 b=11.6934 c=14.5914 alpha=90.00 beta=90.00 gamma=90.00
Fractional coordinates of all 24 atoms:
Cd 0.7500 0.7588 0.2195
Cd 0.7500 0.2588 0.2805
Cd 0.2500 0.7412 0.7195
Cd 0.2500 0.2412 0.7805
Na 0.2500 0.7735 0.0155
Na 0.2500 0.2735 0.4845
Na 0.7500 0.7265 0.5155
Na 0.7500 0.2265 0.9845
Te 0.7500 0.5677 0.1049
Te 0.7500 0.9586 0.1134
Te 0.2500 0.2614 0.1567
Te 0.2500 0.7614 0.3433
Te 0.7500 0.4586 0.3866
Te 0.7500 0.0677 0.3951
Te 0.2500 0.9323 0.6049
Te 0.2500 0.5414 0.6134
Te 0.7500 0.2386 0.6567
Te 0.7500 0.7386 0.8433
Te 0.2500 0.0414 0.8866
Te 0.2500 0.4323 0.8951
Tm 0.2500 0.5115 0.2448
Tm 0.2500 0.0115 0.2552
Tm 0.7500 0.9885 0.7448
Tm 0.7500 0.4885 0.7552